Record 1
A plane-wave DFT calculation with GGA-PBE was carried out for Ce4PCSe2 after structural relaxation.

Results
crystal system = monoclinic
magnetization = 2.7 μB/f.u.
D(E_F) = 17.032 states/eV per cell
formation energy (no corrections) = -10.534 eV per formula unit

a = 6.981 Å, b = 3.992 Å, c = 7.153 Å
α = 90.00°, β = 108.70°, γ = 90.00°
Element x y z (fractional)
Ce  0.221  0.000  0.212
Ce  0.242  0.500  0.776
Ce  0.758  0.500  0.224
Ce  0.779  0.000  0.788
P  0.500  0.000  0.000
C  0.000  0.500  0.000
Se  0.000  0.000  0.500
Se  0.500  0.500  0.500


Record 2
A plane-wave DFT calculation with GGA-PBE was carried out for SrAcSbPb after structural relaxation.

Results
crystal system = cubic
magnetization = 0.0 μB/f.u.
D(E_F) = 4.166 states/eV per cell
formation energy (no corrections) = -2.523 eV per formula unit

a = 5.820 Å, b = 5.820 Å, c = 5.820 Å
α = 60.00°, β = 60.00°, γ = 60.00°
Element x y z (fractional)
Sr  0.000  0.000  0.000
Ac  0.500  0.500  0.500
Sb  0.250  0.250  0.250
Pb  0.750  0.750  0.750


Record 3
A plane-wave DFT calculation with GGA-PBE was carried out for La3Sc2Sn4 after structural relaxation.

Results
crystal system = monoclinic
magnetization = 0.0 μB/f.u.
D(E_F) = 6.961 states/eV per cell
formation energy = -688 meV/atom

a = 6.868 Å, b = 6.868 Å, c = 9.639 Å
α = 111.41°, β = 111.41°, γ = 39.75°
Element x y z (fractional)
La  0.000  0.000  0.000
La  0.377  0.377  0.305
La  0.623  0.623  0.695
Sc  0.312  0.312  0.642
Sc  0.688  0.688  0.358
Sn  0.077  0.077  0.403
Sn  0.293  0.293  0.933
Sn  0.707  0.707  0.067
Sn  0.923  0.923  0.597


Looking at E for the records above, in order, we have -6.984, -4.036, -5.517 eV/atom.